ZrTi2H: relaxed, PBE.

Output
* M_tot: 0.00 μB/f.u.
* raw total energy: -7.03 eV per atom
* V: 14.8 Å³ per atom

Unit cell a=8.380 b=2.964 c=4.777 alpha=90.00 beta=90.00 gamma=90.00
Fractional positions:
Zr: 0.250 0.000 0.250
Zr: 0.750 0.000 0.750
Ti: 0.080 0.500 0.750
Ti: 0.420 0.500 0.750
Ti: 0.580 0.500 0.250
Ti: 0.920 0.500 0.250
H: 0.250 0.000 0.748
H: 0.750 0.000 0.252